# UCdPd

Crystalline UCdPd at its relaxed geometry (PBE-GGA, the Alexandria database).

a b c (Å): 3.019 3.019 13.286
angles (deg): 90.00 90.00 90.00
Space group I4mm (No. 107)
Inequivalent atoms, fractional coordinates:
1 U 0.000 0.000 0.000 [2 per cell]
2 Cd 0.000 0.000 0.306 [2 per cell]
3 Pd 0.000 0.000 0.658 [2 per cell]

- Crystal system: tetragonal
- Final energy: -5.88 eV/atom
- Size of the total moment: 2.64 μB/f.u.